1.
Here is a geometry-optimized MnTeP4 structure from Alexandria via LeMat-Bulk. Energies are from PBE-GGA.

```
MnTeP4
1.0
0.0000 4.0704 4.0704
4.0704 0.0000 4.0704
4.0704 4.0704 0.0000
Mn Te P
1 1 4
direct
0.0000 0.0000 0.0000 Mn
0.2500 0.2500 0.2500 Te
0.0417 0.6528 0.6528 P
0.6528 0.0417 0.6528 P
0.6528 0.6528 0.0417 P
0.6528 0.6528 0.6528 P
```

Summary:
Formation energy (no corrections): 3.9 eV per formula unit
Final energy: -30.05 eV per cell
DOS(E_F): 3.1 states/eV per cell
V: 22.48 Å³ per atom
Space group: F-43m (216)

=====

2.
Here is a geometry-optimized AlHgW structure from Alexandria via LeMat-Bulk. Energies are from PBE-GGA.

```
AlHgW
1.0
0.0000 3.0773 3.0773
3.0773 0.0000 3.0773
3.0773 3.0773 0.0000
Al Hg W
1 1 1
direct
0.0000 0.0000 0.0000 Al
0.7500 0.7500 0.7500 Hg
0.2500 0.2500 0.2500 W
```

Summary:
Offset from the most stable computed form: 1.82 eV per formula unit
Formation enthalpy at 0 K: 0.99 eV/atom
Final energy: -14.01 eV per cell
DOS(E_F): 2.5 states/eV per cell
V: 19.43 Å³ per atom
Space group: F-43m (216)

=====

3.
Here is a geometry-optimized PmEuHoSn structure from Alexandria via LeMat-Bulk. Energies are from PBE-GGA.

```
PmEuHoSn
1.0
0.0000 3.8915 3.8915
3.8915 0.0000 3.8915
3.8915 3.8915 0.0000
Pm Eu Ho Sn
1 1 1 1
direct
0.0000 0.0000 0.0000 Pm
0.7500 0.7500 0.7500 Eu
0.5000 0.5000 0.5000 Ho
0.2500 0.2500 0.2500 Sn
```

Summary:
Formation enthalpy at 0 K: -0.25 eV/atom
Final energy: -24.60 eV per cell
DOS(E_F): 5.5 states/eV per cell
V: 29.47 Å³ per atom
Space group: F-43m (216)

=====

4.
Here is a geometry-optimized NaLaS2N structure from Alexandria via LeMat-Bulk. Energies are from PBE-GGA.

```
NaLaS2N
1.0
4.9926 0.0000 0.0000
0.0000 4.9926 0.0000
0.0000 0.0000 4.2066
Na La S N
1 1 2 1
direct
0.0000 0.0000 0.0000 Na
0.5000 0.5000 0.5000 La
0.0000 0.5000 0.0000 S
0.5000 0.0000 0.0000 S
0.0000 0.0000 0.5000 N
```

Summary:
Formation energy (no corrections): -0.4 eV per formula unit
Offset from the most stable computed form: 0.64 eV per formula unit
Final energy: -23.19 eV per cell
DOS(E_F): 1.0 states/eV per cell
V: 20.97 Å³ per atom
Space group: P4/mmm (123)

=====

5.
Here is a geometry-optimized Na6PuCl12 structure from Alexandria via LeMat-Bulk. Energies are from PBE-GGA.

```
Na6PuCl12
1.0
6.2045 3.5822 4.0863
-6.2045 3.5822 4.0863
0.0000 -7.1643 4.0863
Na Pu Cl
6 1 12
direct
0.1641 0.3876 0.6122 Na
0.3876 0.6122 0.1641 Na
0.3878 0.8359 0.6124 Na
0.6122 0.1641 0.3876 Na
0.6124 0.3878 0.8359 Na
0.8359 0.6124 0.3878 Na
0.0000 0.0000 0.0000 Pu
0.0330 0.9044 0.7086 Cl
0.0956 0.2914 0.9670 Cl
0.1679 0.6045 0.3854 Cl
0.2914 0.9670 0.0956 Cl
0.3854 0.1679 0.6045 Cl
0.3955 0.6146 0.8321 Cl
0.6045 0.3854 0.1679 Cl
0.6146 0.8321 0.3955 Cl
0.7086 0.0330 0.9044 Cl
0.8321 0.3955 0.6146 Cl
0.9044 0.7086 0.0330 Cl
0.9670 0.0956 0.2914 Cl
```

Summary:
Formation energy (no corrections): -28.7 eV per formula unit
Final energy: -73.13 eV per cell
DOS(E_F): 21.6 states/eV per cell
V: 28.68 Å³ per atom
Space group: R-3 (148)

=====

6.
Here is a geometry-optimized Pb2SeClF structure from Alexandria via LeMat-Bulk. Energies are from PBE-GGA.

```
Pb2SeClF
1.0
7.7342 -2.0977 0.0000
7.7342 2.0977 0.0000
-0.2100 0.0000 9.0311
Pb Se Cl F
4 2 2 2
direct
0.1461 0.1461 0.4077 Pb
0.3394 0.3394 0.1596 Pb
0.6606 0.6606 0.8404 Pb
0.8539 0.8539 0.5923 Pb
0.2993 0.2993 0.8194 Se
0.7007 0.7007 0.1806 Se
0.0348 0.0348 0.7145 Cl
0.9652 0.9652 0.2855 Cl
0.3092 0.3092 0.4364 F
0.6908 0.6908 0.5636 F
```

Summary:
Formation energy (no corrections): -6.2 eV per formula unit
Final energy: -41.66 eV per cell
DOS(E_F): 0.0 states/eV per cell
V: 29.30 Å³ per atom
Space group: C2/m (12)

=====

7.
Here is a geometry-optimized AsIrRh2 structure from Alexandria via LeMat-Bulk. Energies are from PBE-GGA.

```
AsIrRh2
1.0
1.3880 -2.4065 0.0000
1.3880 2.4065 0.0000
0.0000 0.0000 9.0493
As Ir Rh
1 1 2
direct
0.0000 0.0000 0.0000 As
0.5000 0.5000 0.2487 Ir
0.0000 0.0000 0.5017 Rh
0.5000 0.5000 0.7579 Rh
```

Summary:
Formation enthalpy at 0 K: 0.28 eV/atom
Final energy: -27.09 eV per cell
DOS(E_F): 5.1 states/eV per cell
V: 15.11 Å³ per atom
Space group: Cmm2 (35)

=====

8.
Here is a geometry-optimized SrAg2Se2 structure from Alexandria via LeMat-Bulk. Energies are from PBE-GGA.

```
SrAg2Se2
1.0
3.7899 -2.1901 0.0000
3.7899 2.1901 0.0000
-2.5076 0.0000 7.4212
Sr Ag Se
1 2 2
direct
0.0000 0.0000 0.0000 Sr
0.2067 0.2067 0.6194 Ag
0.7933 0.7933 0.3806 Ag
0.4147 0.4147 0.2454 Se
0.5853 0.5853 0.7546 Se
```

Summary:
Formation energy (no corrections): -4.0 eV per formula unit
Final energy: -18.38 eV per cell
DOS(E_F): 0.4 states/eV per cell
V: 24.64 Å³ per atom
Space group: C2/m (12)